[1]
# Ce5TlSn2

A relaxed structure of Ce5TlSn2 (PBE-GGA, Alexandria).

extended XYZ file:
```
16
Lattice="2.7845 -5.7975 0.0000 2.7845 5.7975 0.0000 0.0000 0.0000 14.1053" Properties=species:S:1:pos:R:3 pbc="T T T"
Ce 2.7845 5.3496 10.5790
Ce 2.7845 4.5554 0.3694
Ce 2.7845 4.5554 6.6833
Ce 2.7845 0.9154 0.9856
Ce 2.7845 0.9154 6.0670
Ce 2.7845 -0.9154 8.0383
Ce 2.7845 -0.9154 13.1197
Ce 2.7845 -4.5554 7.4220
Ce 2.7845 -4.5554 13.7359
Ce 2.7845 -5.3496 3.5263
Tl 2.7845 2.9353 3.5263
Tl 2.7845 -2.9353 10.5790
Sn 2.7845 2.2444 9.0329
Sn 2.7845 2.2444 12.1251
Sn 2.7845 -2.2444 1.9802
Sn 2.7845 -2.2444 5.0724
```

Calculated values
Space group   Cmcm (63)
E_tot   -5.182 eV per atom

[2]
# Ce6TlSn

A relaxed structure of Ce6TlSn (PBE-GGA, Alexandria).

extended XYZ file:
```
8
Lattice="4.8027 0.0000 0.0000 0.0000 4.8027 0.0000 0.0000 0.0000 9.5959" Properties=species:S:1:pos:R:3 pbc="T T T"
Ce 0.0000 0.0000 0.0000
Ce 0.0000 0.0000 4.7980
Ce 0.0000 2.4013 2.3616
Ce 0.0000 2.4013 7.2343
Ce 2.4013 0.0000 2.3616
Ce 2.4013 0.0000 7.2343
Tl 2.4013 2.4013 4.7980
Sn 2.4013 2.4013 0.0000
```

Calculated values
E above lowest polymorph   0.0 kJ per mole of atoms
Space group   P4/mmm (123)
E_tot   -5.512 eV per atom

[3]
# Ce5TlSn4

A relaxed structure of Ce5TlSn4 (PBE-GGA, Alexandria).

extended XYZ file:
```
10
Lattice="4.1622 0.0000 0.0000 0.0000 4.1622 0.0000 0.0000 0.0000 16.1438" Properties=species:S:1:pos:R:3 pbc="T T T"
Ce 0.0000 0.0000 0.0000
Ce 0.0000 0.0000 3.2096
Ce 0.0000 0.0000 6.3134
Ce 0.0000 0.0000 9.8305
Ce 0.0000 0.0000 12.9343
Tl 2.0811 2.0811 8.0719
Sn 2.0811 2.0811 1.6142
Sn 2.0811 2.0811 4.7852
Sn 2.0811 2.0811 11.3587
Sn 2.0811 2.0811 14.5297
```

Calculated values
Space group   P4/mmm (123)
E_tot   -5.334 eV per atom

[4]
# CeTlSn2

A relaxed structure of CeTlSn2 (PBE-GGA, Alexandria).

extended XYZ file:
```
4
Lattice="4.7570 0.0000 0.0000 0.0000 4.7570 0.0000 0.0000 0.0000 4.7576" Properties=species:S:1:pos:R:3 pbc="T T T"
Ce 0.0000 0.0000 0.0000
Tl 2.3785 2.3785 0.0000
Sn 0.0000 2.3785 2.3788
Sn 2.3785 0.0000 2.3788
```

Calculated values
Space group   P4/mmm (123)
E_tot   -4.524 eV per atom

[5]
# Ce4Tl2Sn

A relaxed structure of Ce4Tl2Sn (PBE-GGA, Alexandria).

extended XYZ file:
```
7
Lattice="3.1237 -5.7977 0.0000 3.1237 5.7977 0.0000 0.0000 0.0000 6.2709" Properties=species:S:1:pos:R:3 pbc="T T T"
Ce 3.1237 4.4379 0.0000
Ce 3.1237 1.7522 3.1354
Ce 3.1237 -1.7522 3.1354
Ce 3.1237 -4.4379 0.0000
Tl 3.1237 1.4219 0.0000
Tl 3.1237 -1.4219 0.0000
Sn 0.0000 0.0000 3.1354
```

Calculated values
E above lowest polymorph   14.7 kJ per mole of atoms
Space group   Cmmm (65)
E_tot   -4.642 eV per atom

[6]
# Ce6TlSn2

A relaxed structure of Ce6TlSn2 (PBE-GGA, Alexandria).

extended XYZ file:
```
9
Lattice="-1.6254 4.6679 7.9321 1.6254 -4.6679 7.9321 1.6254 4.6679 -7.9321" Properties=species:S:1:pos:R:3 pbc="T T T"
Ce 1.6254 -1.7282 5.4409
Ce 0.0000 1.6013 0.0000
Ce 0.0000 2.9397 2.4912
Ce 1.6254 1.7282 5.4409
Ce 0.0000 7.7345 0.0000
Ce 0.0000 6.3961 2.4912
Tl 0.0000 0.0000 7.9321
Sn 1.6254 0.0000 2.5464
Sn 0.0000 4.6679 5.3857
```

Calculated values
E above lowest polymorph   2.9 kJ per mole of atoms
Space group   Immm (71)
E_tot   -5.345 eV per atom